[1]
This record from Alexandria via LeMat-Bulk describes a relaxed structure of Er2GaSi4Ni3. The functional is PBE-GGA.

Structure (extended XYZ):
```
10
Lattice="-1.4717 2.6900 -2.4641 -3.5019 -1.7860 0.1418 -2.5624 5.6340 7.6810" Properties=species:S:1:pos:R:3 pbc="T T T"
Er -1.3516 2.6989 0.6138
Er -3.6976 3.3871 5.9061
Si -2.4868 0.4520 -1.1611
Si 0.0000 0.0000 0.0000
Si -2.6510 1.0859 2.7688
Si -2.3982 5.0000 3.7510
Ga -3.7680 3.2689 2.6794
Ni -1.2812 2.8170 3.8405
Ni -2.0655 -0.2013 1.0139
Ni -2.9837 6.2873 5.5059
```

Properties
Space-group type = No. 115
Fermi-level density of states = 3.7 states/eV/f.u.
Formation energy from raw total energies = -0.76 eV/atom

=====

[2]
This record from Alexandria via LeMat-Bulk describes a relaxed structure of Ac2ZnO4. The functional is PBE-GGA.

Structure (extended XYZ):
```
7
Lattice="-3.5555 -1.7746 -0.4168 1.6616 -3.5308 0.8587 -0.3041 3.6386 6.2536" Properties=species:S:1:pos:R:3 pbc="T T T"
O 0.8308 -1.7654 0.4293
O -1.7498 -2.0200 4.3760
O -0.4482 0.3532 2.3195
O -1.7778 -0.8873 -0.2084
Ac -1.2891 -2.3831 1.9916
Ac -0.9089 0.7162 4.7039
Zn 0.0000 0.0000 0.0000
```

Properties
Space-group type = No. 139
Formation energy from raw total energies = -2.72 eV/atom

=====

[3]
This record from Alexandria via LeMat-Bulk describes a relaxed structure of TiRh2F2. The functional is PBE-GGA.

Structure (extended XYZ):
```
5
Lattice="3.3300 0.0000 0.0000 0.0000 3.3300 0.0000 1.6650 1.6650 5.8772" Properties=species:S:1:pos:R:3 pbc="T T T"
Rh 1.6650 1.6650 1.3136
Rh 3.3300 3.3300 4.5636
F 3.3300 1.6650 2.9386
F 1.6650 3.3300 2.9386
Ti 0.0000 0.0000 0.0000
```

Properties
Space-group type = No. 139
Fermi-level density of states = 3.7 states/eV/f.u.
Energy relative to the lowest polymorph listed for this composition = 0.00 kcal/mol of atoms
Formation energy from raw total energies = -0.78 eV/atom

=====

[4]
This record from Alexandria via LeMat-Bulk describes a relaxed structure of FeSbIr2. The functional is PBE-GGA.

Structure (extended XYZ):
```
4
Lattice="4.6062 0.0000 0.0000 0.0000 2.8954 0.0033 0.0000 0.0179 4.7816" Properties=species:S:1:pos:R:3 pbc="T T T"
Ir 0.0000 2.9023 4.7335
Ir 0.0000 1.4676 2.4438
Sb 2.3031 0.7283 1.1962
Fe 2.3031 2.1850 3.5887
```

Properties
Space-group type = No. 10
Fermi-level density of states = 4.0 states/eV/f.u.
Formation energy from raw total energies = 0.28 eV/atom